(1)
The following is a GGA-PBE calculation of a relaxed structure of Tl2AsOs, from Alexandria via LeMat-Bulk.

Properties
N(E_F): 9.18 states/eV/cell
ΔE_f: 85 kJ/mol of atoms
Theoretical density: 13.2 g/cm3
ΔE to the lowest computed polymorph: 623 meV/atom

```
data_Tl2AsOs
_cell_length_a 3.1317
_cell_length_b 3.1317
_cell_length_c 29.8624
_cell_angle_alpha 90.00
_cell_angle_beta 90.00
_cell_angle_gamma 120.00
_space_group_name_H-M_alt 'R -3 m'
_space_group_IT_number 166
_space_group_name_Hall '-R 3 2"'
loop_
_atom_site_label
_atom_site_type_symbol
_atom_site_fract_x
_atom_site_fract_y
_atom_site_fract_z
_atom_site_occupancy
Tl1 Tl 0.0000 0.0000 0.2435 1
As1 As 0.0000 0.0000 0.0000 1
Os1 Os 0.0000 0.0000 0.5000 1
```

(2)
The following is a GGA-PBE calculation of a relaxed structure of CsCaAlCr2, from Alexandria via LeMat-Bulk.

Properties
N(E_F): 4.96 states/eV/cell
ΔE_f: 110 kJ/mol of atoms
Theoretical density: 2.9 g/cm3

```
data_CsCaAlCr2
_cell_length_a 5.315
_cell_length_b 5.315
_cell_length_c 6.170
_cell_angle_alpha 90.00
_cell_angle_beta 90.00
_cell_angle_gamma 90.00
_space_group_name_H-M_alt 'P 4/m m m'
_space_group_IT_number 123
_space_group_name_Hall '-P 4 2'
loop_
_atom_site_label
_atom_site_type_symbol
_atom_site_fract_x
_atom_site_fract_y
_atom_site_fract_z
_atom_site_occupancy
Cs1 Cs 0.000 0.000 0.000 1
Ca1 Ca 0.500 0.500 0.000 1
Al1 Al 0.000 0.000 0.500 1
Cr1 Cr 0.000 0.500 0.500 1
```

(3)
The following is a GGA-PBE calculation of a relaxed structure of ReSiOF2, from Alexandria via LeMat-Bulk.

Properties
ΔE_f (raw): -265 meV/atom
N(E_F): 1.88 states/eV/cell
Theoretical density: 6.4 g/cm3
ΔE to the lowest computed polymorph: 204 meV/atom

```
data_ReSiOF2
_cell_length_a 4.557
_cell_length_b 4.557
_cell_length_c 3.342
_cell_angle_alpha 90.00
_cell_angle_beta 90.00
_cell_angle_gamma 90.00
_space_group_name_H-M_alt 'P 4/m m m'
_space_group_IT_number 123
_space_group_name_Hall '-P 4 2'
loop_
_atom_site_label
_atom_site_type_symbol
_atom_site_fract_x
_atom_site_fract_y
_atom_site_fract_z
_atom_site_occupancy
Re1 Re 0.000 0.000 0.000 1
Si1 Si 0.500 0.500 0.500 1
O1 O 0.500 0.500 0.000 1
F1 F 0.000 0.500 0.500 1
```

(4)
The following is a GGA-PBE calculation of a relaxed structure of Na4IrPd3O8, from Alexandria via LeMat-Bulk.

Properties
ΔE_f (raw): -955 meV/atom
N(E_F): 10.27 states/eV/cell
Theoretical density: 6.1 g/cm3

```
data_Na4IrPd3O8
_cell_length_a 11.891
_cell_length_b 6.148
_cell_length_c 6.069
_cell_angle_alpha 90.00
_cell_angle_beta 115.40
_cell_angle_gamma 90.00
_space_group_name_H-M_alt 'C 1 2/m 1'
_space_group_IT_number 12
loop_
_space_group_symop_operation_xyz
'x,y,z'
'-x,-y,-z'
'-x,y,-z'
'x,-y,z'
'x+1/2,y+1/2,z'
'-x+1/2,-y+1/2,-z'
'-x+1/2,y+1/2,-z'
'x+1/2,-y+1/2,z'
loop_
_atom_site_label
_atom_site_type_symbol
_atom_site_fract_x
_atom_site_fract_y
_atom_site_fract_z
_atom_site_occupancy
Na1 Na 0.000 0.000 0.000 1
Na2 Na 0.000 0.500 0.000 1
Na3 Na 0.250 0.250 0.500 1
Ir1 Ir 0.000 0.000 0.500 1
Pd1 Pd 0.000 0.500 0.500 1
Pd2 Pd 0.250 0.250 0.000 1
O1 O 0.036 0.248 0.318 1
O2 O 0.180 0.000 0.744 1
O3 O 0.192 0.500 0.752 1
```

(5)
The following is a GGA-PBE calculation of a relaxed structure of NaTe3Ru, from Alexandria via LeMat-Bulk.

Properties
ΔE_f (raw): 128 meV/atom
N(E_F): 7.69 states/eV/cell
Theoretical density: 5.6 g/cm3
ΔE to the lowest computed polymorph: 0 meV/atom

```
data_NaTe3Ru
_cell_length_a 5.309
_cell_length_b 5.309
_cell_length_c 5.309
_cell_angle_alpha 90.00
_cell_angle_beta 90.00
_cell_angle_gamma 90.00
_space_group_name_H-M_alt 'P m -3 m'
_space_group_IT_number 221
_space_group_name_Hall '-P 4 2 3'
loop_
_atom_site_label
_atom_site_type_symbol
_atom_site_fract_x
_atom_site_fract_y
_atom_site_fract_z
_atom_site_occupancy
Na1 Na 0.000 0.000 0.000 1
Te1 Te 0.000 0.500 0.500 1
Ru1 Ru 0.500 0.500 0.500 1
```

(6)
The following is a GGA-PBE calculation of a relaxed structure of Y2ZrCdH, from Alexandria via LeMat-Bulk.

Properties
N(E_F): 8.40 states/eV/cell
Theoretical density: 6.0 g/cm3
Calculated total energy: -5.327 eV per atom

```
data_Y2ZrCdH
_cell_length_a 4.837
_cell_length_b 4.837
_cell_length_c 4.537
_cell_angle_alpha 90.00
_cell_angle_beta 90.00
_cell_angle_gamma 90.00
_space_group_name_H-M_alt 'P 4/m m m'
_space_group_IT_number 123
_space_group_name_Hall '-P 4 2'
loop_
_atom_site_label
_atom_site_type_symbol
_atom_site_fract_x
_atom_site_fract_y
_atom_site_fract_z
_atom_site_occupancy
Y1 Y 0.000 0.500 0.000 1
Zr1 Zr 0.000 0.000 0.500 1
Cd1 Cd 0.500 0.500 0.500 1
H1 H 0.000 0.000 0.000 1
```

(7)
The following is a GGA-PBE calculation of a relaxed structure of Tm2Zn3GaCu12, from Alexandria via LeMat-Bulk.

Properties
N(E_F): 23.88 states/eV/cell
ΔE_f: 0 kJ/mol of atoms
Theoretical density: 8.5 g/cm3

```
data_Tm2Zn3GaCu12
_cell_length_a 8.6854
_cell_length_b 8.6854
_cell_length_c 12.3231
_cell_angle_alpha 90.00
_cell_angle_beta 90.00
_cell_angle_gamma 120.00
_space_group_name_H-M_alt 'R -3 m'
_space_group_IT_number 166
_space_group_name_Hall '-R 3 2"'
loop_
_atom_site_label
_atom_site_type_symbol
_atom_site_fract_x
_atom_site_fract_y
_atom_site_fract_z
_atom_site_occupancy
Tm1 Tm 0.0000 0.0000 0.2052 1
Zn1 Zn 0.0000 0.5000 0.0000 1
Ga1 Ga 0.0000 0.0000 0.5000 1
Cu1 Cu 0.0159 0.5080 0.2058 1
Cu2 Cu 0.0339 0.5170 0.6010 1
```

(8)
The following is a GGA-PBE calculation of a relaxed structure of CaAcTe3, from Alexandria via LeMat-Bulk.

Properties
ΔE_f (raw): -1394 meV/atom
N(E_F): 3.66 states/eV/cell
Theoretical density: 6.1 g/cm3

```
data_CaAcTe3
_cell_length_a 4.829
_cell_length_b 6.740
_cell_length_c 10.887
_cell_angle_alpha 90.00
_cell_angle_beta 90.00
_cell_angle_gamma 90.00
_space_group_name_H-M_alt 'P m m n'
_space_group_IT_number 59
loop_
_space_group_symop_operation_xyz
'x,y,z'
'-x,-y,-z'
'-x+1/2,-y+1/2,z'
'x+1/2,y+1/2,-z'
'x+1/2,-y,-z'
'-x+1/2,y,z'
'-x,y+1/2,-z'
'x,-y+1/2,z'
loop_
_atom_site_label
_atom_site_type_symbol
_atom_site_fract_x
_atom_site_fract_y
_atom_site_fract_z
_atom_site_occupancy
Ca1 Ca 0.250 0.250 0.083 1
Ac1 Ac 0.250 0.750 0.360 1
Te1 Te 0.250 0.011 0.825 1
Te2 Te 0.250 0.250 0.433 1
```

(9)
The following is a GGA-PBE calculation of a relaxed structure of Re2NiPt, from Alexandria via LeMat-Bulk.

Properties
N(E_F): 4.84 states/eV/cell
ΔE_f: 24 kJ/mol of atoms
Theoretical density: 18.0 g/cm3
ΔE to the lowest computed polymorph: 294 meV/atom

```
data_Re2NiPt
_cell_length_a 3.196
_cell_length_b 3.196
_cell_length_c 5.648
_cell_angle_alpha 90.00
_cell_angle_beta 90.00
_cell_angle_gamma 90.00
_space_group_name_H-M_alt 'P 4/m m m'
_space_group_IT_number 123
_space_group_name_Hall '-P 4 2'
loop_
_atom_site_label
_atom_site_type_symbol
_atom_site_fract_x
_atom_site_fract_y
_atom_site_fract_z
_atom_site_occupancy
Re1 Re 0.000 0.000 0.215 1
Ni1 Ni 0.500 0.500 0.000 1
Pt1 Pt 0.500 0.500 0.500 1
```

(10)
The following is a GGA-PBE calculation of a relaxed structure of PmNdLuZn, from Alexandria via LeMat-Bulk.

Properties
N(E_F): 17.55 states/eV/cell
ΔE_f: 0 kJ/mol of atoms
Theoretical density: 7.9 g/cm3

```
data_PmNdLuZn
_cell_length_a 7.637
_cell_length_b 7.637
_cell_length_c 7.637
_cell_angle_alpha 90.00
_cell_angle_beta 90.00
_cell_angle_gamma 90.00
_space_group_name_H-M_alt 'F -4 3 m'
_space_group_IT_number 216
_space_group_name_Hall 'F -4 2 3'
loop_
_atom_site_label
_atom_site_type_symbol
_atom_site_fract_x
_atom_site_fract_y
_atom_site_fract_z
_atom_site_occupancy
Pm1 Pm 0.000 0.000 0.000 1
Nd1 Nd 0.000 0.000 0.500 1
Lu1 Lu 0.250 0.250 0.750 1
Zn1 Zn 0.250 0.250 0.250 1
```

(11)
The following is a GGA-PBE calculation of a relaxed structure of ZnNi5Ge, from Alexandria via LeMat-Bulk.

Properties
N(E_F): 8.16 states/eV/cell
ΔE_f: -5 kJ/mol of atoms
Theoretical density: 8.2 g/cm3
ΔE to the lowest computed polymorph: 0 meV/atom

```
data_ZnNi5Ge
_cell_length_a 3.623
_cell_length_b 3.623
_cell_length_c 6.697
_cell_angle_alpha 90.00
_cell_angle_beta 90.00
_cell_angle_gamma 90.00
_space_group_name_H-M_alt 'P 4/m m m'
_space_group_IT_number 123
_space_group_name_Hall '-P 4 2'
loop_
_atom_site_label
_atom_site_type_symbol
_atom_site_fract_x
_atom_site_fract_y
_atom_site_fract_z
_atom_site_occupancy
Zn1 Zn 0.000 0.000 0.000 1
Ni1 Ni 0.000 0.000 0.500 1
Ni2 Ni 0.000 0.500 0.248 1
Ge1 Ge 0.500 0.500 0.500 1
```

(12)
The following is a GGA-PBE calculation of a relaxed structure of Sm2CdGa3, from Alexandria via LeMat-Bulk.

Properties
N(E_F): 7.99 states/eV/cell
ΔE_f: -52 kJ/mol of atoms
Theoretical density: 7.3 g/cm3
ΔE to the lowest computed polymorph: 15 meV/atom

```
data_Sm2CdGa3
_cell_length_a 4.029
_cell_length_b 4.494
_cell_length_c 15.556
_cell_angle_alpha 90.00
_cell_angle_beta 90.00
_cell_angle_gamma 90.00
_space_group_name_H-M_alt 'I m m 2'
_space_group_IT_number 44
loop_
_space_group_symop_operation_xyz
'x,y,z'
'-x,-y,z'
'-x,y,z'
'x,-y,z'
'x+1/2,y+1/2,z+1/2'
'-x+1/2,-y+1/2,z+1/2'
'-x+1/2,y+1/2,z+1/2'
'x+1/2,-y+1/2,z+1/2'
loop_
_atom_site_label
_atom_site_type_symbol
_atom_site_fract_x
_atom_site_fract_y
_atom_site_fract_z
_atom_site_occupancy
Sm1 Sm 0.000 0.000 0.000 1
Sm2 Sm 0.000 0.500 0.278 1
Cd1 Cd 0.000 0.000 0.600 1
Ga1 Ga 0.000 0.000 0.432 1
Ga2 Ga 0.000 0.500 0.685 1
Ga3 Ga 0.000 0.500 0.845 1
```

(13)
The following is a GGA-PBE calculation of a relaxed structure of LaNdC, from Alexandria via LeMat-Bulk.

Properties
N(E_F): 3.44 states/eV/cell
ΔE_f: 0 kJ/mol of atoms
Theoretical density: 6.4 g/cm3
ΔE to the lowest computed polymorph: 118 meV/atom

```
data_LaNdC
_cell_length_a 3.706
_cell_length_b 6.436
_cell_length_c 6.443
_cell_angle_alpha 90.00
_cell_angle_beta 90.00
_cell_angle_gamma 90.00
_space_group_name_H-M_alt 'P m n 21'
_space_group_IT_number 31
loop_
_space_group_symop_operation_xyz
'x,y,z'
'-x+1/2,-y,z+1/2'
'-x,y,z'
'x+1/2,-y,z+1/2'
loop_
_atom_site_label
_atom_site_type_symbol
_atom_site_fract_x
_atom_site_fract_y
_atom_site_fract_z
_atom_site_occupancy
La1 La 0.000 0.051 0.000 1
Nd1 Nd 0.000 0.451 0.605 1
C1 C 0.000 0.744 0.298 1
```